Entry 1:
A plane-wave DFT calculation with PBE-GGA was carried out for Pm4Sm2YMg after structural relaxation.

Cell: 5.0612 5.0670 11.3401 Å, 63.46 90.00 90.00°
Closest atoms and distances in Å follow each position.
Sites, in units of the cell vectors:
Sm (0.5000, 0.0000, 0.5000)  4 Y 3.58, 8 Pm 3.61
Sm (0.0000, 0.0000, 0.0000)  8 Pm 3.56, 4 Mg 3.58
Mg (0.5000, 0.5000, 0.0000)  8 Pm 3.56, 4 Sm 3.58
Pm (0.0000, 0.2532, 0.2465)  2 Mg 3.56, 4 Sm 3.56-3.61, 4 Pm 3.58, 2 Y 3.61
Pm (0.5000, 0.2472, 0.7533)  4 Sm 3.56-3.61, 2 Mg 3.56, 4 Pm 3.58, 2 Y 3.61
Pm (0.5000, 0.7528, 0.2467)  4 Sm 3.56-3.61, 2 Mg 3.56, 4 Pm 3.58, 2 Y 3.61
Pm (0.0000, 0.7468, 0.7535)  2 Mg 3.56, 4 Sm 3.56-3.61, 4 Pm 3.58, 2 Y 3.61
Y (0.0000, 0.5000, 0.5000)  4 Sm 3.58, 8 Pm 3.61

Properties
crystal system = tetragonal
VASP energy = -4.552 eV/atom
calculated density = 6344 kg/m3

***

Entry 2:
A plane-wave DFT calculation with PBE-GGA was carried out for Pm4SmY2Mg after structural relaxation.

Cell: 5.0530 5.0584 11.3253 Å, 63.50 90.00 90.00°
Closest atoms and distances in Å follow each position.
Sites, in units of the cell vectors:
Y (0.0000, 0.0000, 0.0000)  8 Pm 3.54-3.55, 4 Mg 3.57
Y (0.5000, 0.0000, 0.5000)  4 Sm 3.57, 8 Pm 3.61-3.62
Mg (0.5000, 0.5000, 0.0000)  8 Pm 3.54-3.55, 4 Y 3.57
Pm (0.0000, 0.7456, 0.7549)  4 Y 3.54-3.61, 2 Mg 3.54, 4 Pm 3.57-3.58, 2 Sm 3.61-3.62
Pm (0.5000, 0.2459, 0.7548)  2 Mg 3.54-3.55, 4 Y 3.54-3.62, 4 Pm 3.57-3.58, 2 Sm 3.61
Pm (0.5000, 0.7541, 0.2452)  2 Mg 3.54-3.55, 4 Y 3.54-3.62, 4 Pm 3.57-3.58, 2 Sm 3.61
Pm (0.0000, 0.2544, 0.2451)  4 Y 3.54-3.61, 2 Mg 3.54, 4 Pm 3.57-3.58, 2 Sm 3.61-3.62
Sm (0.0000, 0.5000, 0.5000)  4 Y 3.57, 8 Pm 3.61-3.62

Properties
crystal system = tetragonal
VASP energy = -4.772 eV/atom
calculated density = 5977 kg/m3

***

| no. | E_form (eV per formula unit) |
| --- | --- |
| 1 | 0.1 |
| 2 | 0.1 |